1.
YErTm2Te6: optimized geometry, PBE-GGA.

Summary:
VASP energy   -5.23 eV/atom
Crystal system   trigonal
Energy relative to the elements, uncorrected   -1347 meV per atom
Spin magnetization   0.00 Bohr magnetons per cell

Cell and atoms, written as POSCAR:
```
YErTm2Te6
1.0
-6.2224 4.3717 -0.6821
-4.0651 1.8471 6.1934
0.4837 7.7774 2.7040
Y Er Tm Te
1 1 2 6
direct
0.8229 0.8229 0.5313
0.3234 0.3235 0.0297
0.5083 0.5083 0.4752
0.0078 0.0078 0.9765
0.6026 0.2341 0.2496
0.2341 0.9137 0.2497
0.9136 0.6025 0.2496
0.4107 0.7325 0.7512
0.7325 0.1057 0.7512
0.1057 0.4106 0.7511
```

***

2.
AcTcC2: optimized geometry, PBE-GGA.

Summary:
E above lowest polymorph   0.000 eV/atom
VASP energy   -8.15 eV/atom
DFT formation energy   78.6 meV per atom
Crystal system   monoclinic
Spin magnetization   0.00 Bohr magnetons per cell

Cell and atoms, written as POSCAR:
```
AcTcC2
1.0
-3.4941 1.4282 -1.8769
-1.9336 -3.5313 1.2596
-4.3870 1.1982 6.6846
Ac Tc C
2 2 4
direct
0.0583 0.0936 0.0009
0.9051 0.4411 0.5011
0.3795 0.8117 0.6965
0.4916 0.4241 0.1966
0.4526 0.9410 0.4273
0.6317 0.6196 0.9275
0.4780 0.8582 0.2720
0.8700 0.7500 0.7720
```

***

3.
Tb2Ga6Au: optimized geometry, PBE-GGA.

Summary:
VASP energy   -3.83 eV/atom
DFT formation energy   -414.4 meV per atom
Crystal system   orthorhombic
Spin magnetization   0.00 Bohr magnetons per cell

Cell and atoms, written as POSCAR:
```
Tb2Ga6Au
1.0
4.2831 0.0000 -0.8159
0.0000 3.5834 0.0000
0.1021 0.0000 12.1865
Tb Ga Au
2 6 1
direct
0.3364 0.0000 0.6728
0.9989 0.0000 0.9978
0.6958 0.0000 0.3915
0.2168 0.5000 0.4336
0.1091 0.5000 0.2183
0.5876 0.0000 0.1752
0.4504 0.5000 0.9008
0.8918 0.5000 0.7836
0.7822 0.5000 0.5643
```

***

4.
Pu3PtBr3: optimized geometry, PBE-GGA.

Summary:
VASP energy   -8.79 eV/atom
Crystal system   monoclinic
Energy relative to the elements, uncorrected   -1066 meV per atom
Spin magnetization   11.28 Bohr magnetons per cell

Cell and atoms, written as POSCAR:
```
Pu3PtBr3
1.0
4.1758 0.0000 0.0000
0.0000 8.5470 -0.4594
0.0000 0.0402 11.9270
Pu Pt Br
6 2 6
direct
0.2500 0.2743 0.5969
0.7500 0.7257 0.4031
0.2500 0.8283 0.6389
0.7500 0.1717 0.3611
0.2500 0.9030 0.1597
0.7500 0.0970 0.8403
0.2500 0.9579 0.4065
0.7500 0.0421 0.5935
0.2500 0.4441 0.3670
0.7500 0.5559 0.6330
0.2500 0.8531 0.8980
0.7500 0.1469 0.1020
0.2500 0.3441 0.8539
0.7500 0.6559 0.1461
```